The following is a DFT calculation (GGA-PBE) of crystalline LiTiBi at its relaxed geometry.

CIF file:
```
data_LiTiBi
_chemical_formula_sum 'Li2 Ti2 Bi2'
_space_group_name_H-M_alt 'P 4/n m m'
_space_group_IT_number 129
_cell_length_a 4.219
_cell_length_b 4.219
_cell_length_c 7.398
_cell_angle_alpha 90.00
_cell_angle_beta 90.00
_cell_angle_gamma 90.00
loop_
_space_group_symop_operation_xyz
'x,y,z'
'-x,-y,-z'
'-y+1/2,x,z'
'y+1/2,-x,-z'
'-x+1/2,-y+1/2,z'
'x+1/2,y+1/2,-z'
'y,-x+1/2,z'
'-y,x+1/2,-z'
'x+1/2,-y,-z'
'-x+1/2,y,z'
'-y,-x,-z'
'y,x,z'
'-x,y+1/2,-z'
'x,-y+1/2,z'
'y+1/2,x+1/2,-z'
'-y+1/2,-x+1/2,z'
loop_
_atom_site_label
_atom_site_type_symbol
_atom_site_fract_x
_atom_site_fract_y
_atom_site_fract_z
Li1 Li 0.250 0.250 0.176
Ti1 Ti 0.250 0.750 0.500
Bi1 Bi 0.250 0.250 0.775
```

The following is a DFT calculation (GGA-PBE) of crystalline Li8Tl2Bi at its relaxed geometry.

CIF file:
```
data_Li8Tl2Bi
_chemical_formula_sum 'Li16 Tl4 Bi2'
_space_group_name_H-M_alt 'C 1 2/m 1'
_space_group_IT_number 12
_space_group_name_Hall '-C 2y'
_cell_length_a 15.711
_cell_length_b 4.717
_cell_length_c 5.686
_cell_angle_alpha 90.00
_cell_angle_beta 92.77
_cell_angle_gamma 90.00
loop_
_atom_site_label
_atom_site_type_symbol
_atom_site_fract_x
_atom_site_fract_y
_atom_site_fract_z
Li1 Li 0.039 0.000 0.240
Li2 Li 0.100 0.500 0.956
Li3 Li 0.141 0.000 0.669
Li4 Li 0.184 0.500 0.414
Tl1 Tl 0.212 0.000 0.147
Bi1 Bi 0.000 0.500 0.500
```

The following is a DFT calculation (GGA-PBE) of crystalline LiTlBi at its relaxed geometry.

CIF file:
```
data_LiTlBi
_chemical_formula_sum 'Li4 Tl4 Bi4'
_space_group_name_H-M_alt 'C 1 2/m 1'
_space_group_IT_number 12
_space_group_name_Hall '-C 2y'
_cell_length_a 9.404
_cell_length_b 5.087
_cell_length_c 8.708
_cell_angle_alpha 90.00
_cell_angle_beta 119.81
_cell_angle_gamma 90.00
loop_
_atom_site_label
_atom_site_type_symbol
_atom_site_fract_x
_atom_site_fract_y
_atom_site_fract_z
Li1 Li 0.179 0.000 0.345
Tl1 Tl 0.085 0.500 0.863
Bi1 Bi 0.172 0.000 0.683
```

The following is a DFT calculation (GGA-PBE) of crystalline LiTl3Bi2 at its relaxed geometry.

CIF file:
```
data_LiTl3Bi2
_chemical_formula_sum 'Li2 Tl6 Bi4'
_space_group_name_H-M_alt 'C m m m'
_space_group_IT_number 65
_space_group_name_Hall '-C 2 2'
_cell_length_a 5.666
_cell_length_b 17.653
_cell_length_c 3.528
_cell_angle_alpha 90.00
_cell_angle_beta 90.00
_cell_angle_gamma 90.00
loop_
_atom_site_label
_atom_site_type_symbol
_atom_site_fract_x
_atom_site_fract_y
_atom_site_fract_z
Li1 Li 0.000 0.000 0.000
Tl1 Tl 0.000 0.313 0.000
Tl2 Tl 0.000 0.500 0.500
Bi1 Bi 0.000 0.136 0.500
```

The following is a DFT calculation (GGA-PBE) of crystalline Li3TlBi2 at its relaxed geometry.

CIF file:
```
data_Li3TlBi2
_chemical_formula_sum 'Li3 Tl1 Bi2'
_space_group_name_H-M_alt 'P 4/m m m'
_space_group_IT_number 123
_space_group_name_Hall '-P 4 2'
_cell_length_a 3.426
_cell_length_b 3.426
_cell_length_c 11.963
_cell_angle_alpha 90.00
_cell_angle_beta 90.00
_cell_angle_gamma 90.00
loop_
_atom_site_label
_atom_site_type_symbol
_atom_site_fract_x
_atom_site_fract_y
_atom_site_fract_z
Li1 Li 0.000 0.000 0.000
Li2 Li 0.000 0.000 0.332
Tl1 Tl 0.500 0.500 0.500
Bi1 Bi 0.500 0.500 0.173
```

The following is a DFT calculation (GGA-PBE) of crystalline Li4TlBi at its relaxed geometry.

CIF file:
```
data_Li4TlBi
_chemical_formula_sum 'Li16 Tl4 Bi4'
_space_group_name_H-M_alt 'I 41 m d'
_space_group_IT_number 109
_space_group_name_Hall 'I 4bw -2'
_cell_length_a 10.123
_cell_length_b 10.123
_cell_length_c 6.856
_cell_angle_alpha 90.00
_cell_angle_beta 90.00
_cell_angle_gamma 90.00
loop_
_atom_site_label
_atom_site_type_symbol
_atom_site_fract_x
_atom_site_fract_y
_atom_site_fract_z
Li1 Li 0.000 0.270 0.000
Li2 Li 0.000 0.281 0.489
Tl1 Tl 0.000 0.000 0.510
Bi1 Bi 0.000 0.000 0.990
```

Computed values of density of states at the Fermi level (unit: states/eV per atom) for the preceding records, in sequence: 0.717, 0.231, 0.196, 0.298, 0.295, 0.501.
Computed values of M_tot (unit: μB per atom) for the preceding records, in sequence: 0.37, 0.00, 0.00, 0.00, 0.00, 0.00.
Computed values of formation enthalpy at 0 K (unit: meV/atom) for the preceding records, in sequence: -266, -310, -193, -105, -328, -91.